# 1
A plane-wave DFT calculation with PBE-GGA was carried out for a relaxed GaSnBiPt2 crystal.

DFT formation energy (meV/atom): 311
V (Å³ per cell): 118.7

a = 4.768 Å, b = 5.222 Å, c = 4.768 Å
α = 90.00°, β = 90.00°, γ = 90.00°
Fractional coordinates of all 5 atoms:
1 Ga 0.000 0.000 0.000
2 Bi 0.500 0.500 0.500
3 Pt 0.000 0.000 0.500
4 Pt 0.500 0.000 0.000
5 Sn 0.000 0.500 0.000

=====

# 2
A plane-wave DFT calculation with PBE-GGA was carried out for a relaxed PuGaBi crystal.

Distance to the lowest polymorph of the same formula (eV/atom): 0.118
DFT formation energy (meV/atom): -159
V (Å³ per cell): 76.7

a = 3.692 Å, b = 3.692 Å, c = 6.200 Å
α = 107.32°, β = 107.32°, γ = 90.00°
Each line ends with the local moment (μB).
Fractional coordinates of all 3 atoms:
1 Bi 0.969 0.969 0.937  -0.02
2 Ga 0.609 0.609 0.218  0.05
3 Pu 0.273 0.273 0.545  5.63

=====

# 3
A plane-wave DFT calculation with PBE-GGA was carried out for a relaxed PuGaBi crystal.

Distance to the lowest polymorph of the same formula (eV/atom): 0.000
DFT formation energy (meV/atom): -277
V (Å³ per cell): 157.5

a = 4.680 Å, b = 3.447 Å, c = 9.916 Å
α = 79.99°, β = 90.00°, γ = 90.00°
Each line ends with the local moment (μB).
Fractional coordinates of all 6 atoms:
1 Ga 0.750 0.466 0.068  0.01
2 Ga 0.250 0.534 0.932  0.01
3 Bi 0.750 0.316 0.369  -0.06
4 Bi 0.250 0.684 0.631  -0.06
5 Pu 0.750 0.099 0.802  5.42
6 Pu 0.250 0.901 0.198  5.42

=====

# 4
A plane-wave DFT calculation with PBE-GGA was carried out for a relaxed PuGaBi crystal.

Distance to the lowest polymorph of the same formula (eV/atom): 0.130
DFT formation energy (meV/atom): -147
V (Å³ per cell): 79.2

a = 3.324 Å, b = 5.244 Å, c = 5.244 Å
α = 120.00°, β = 90.00°, γ = 90.00°
Each line ends with the local moment (μB).
Fractional coordinates of all 3 atoms:
1 Bi 0.166 0.000 0.000  -0.03
2 Ga 0.168 0.667 0.333  0.01
3 Pu 0.666 0.333 0.667  5.61

=====

# 5
A plane-wave DFT calculation with PBE-GGA was carried out for a relaxed PuGa2Bi crystal.

Distance to the lowest polymorph of the same formula (eV/atom): 0.190
DFT formation energy (meV/atom): -106
V (Å³ per cell): 95.4

a = 3.786 Å, b = 3.786 Å, c = 6.657 Å
α = 90.00°, β = 90.00°, γ = 90.00°
Each line ends with the local moment (μB).
Fractional coordinates of all 4 atoms:
1 Bi 0.500 0.500 0.500  -0.06
2 Ga 0.000 0.000 0.732  0.01
3 Ga 0.000 0.000 0.268  0.01
4 Pu 0.500 0.500 0.000  5.49

=====

# 6
A plane-wave DFT calculation with PBE-GGA was carried out for a relaxed Pu4GaBi crystal.

DFT formation energy (meV/atom): -43
V (Å³ per cell): 152.6

a = 5.149 Å, b = 6.148 Å, c = 6.148 Å
α = 94.58°, β = 65.24°, γ = 65.24°
Each line ends with the local moment (μB).
Fractional coordinates of all 6 atoms:
1 Pu 0.755 0.579 0.911  5.84
2 Pu 0.755 0.911 0.579  5.84
3 Pu 0.245 0.421 0.089  5.84
4 Pu 0.245 0.089 0.421  5.84
5 Ga 0.500 0.500 0.500  -0.09
6 Bi 0.000 0.000 0.000  -0.12

=====

# 7
A plane-wave DFT calculation with PBE-GGA was carried out for a relaxed PuGa2Bi crystal.

Distance to the lowest polymorph of the same formula (eV/atom): 0.000
DFT formation energy (meV/atom): -296
V (Å³ per cell): 92.2

a = 4.446 Å, b = 4.554 Å, c = 4.554 Å
α = 90.00°, β = 90.00°, γ = 90.00°
Each line ends with the local moment (μB).
Fractional coordinates of all 4 atoms:
1 Bi 0.500 0.000 0.000  0.10
2 Ga 0.000 0.000 0.500  0.01
3 Ga 0.000 0.500 0.000  0.01
4 Pu 0.500 0.500 0.500  -5.22

=====

# 8
A plane-wave DFT calculation with PBE-GGA was carried out for a relaxed Pu2GaBi3 crystal.

DFT formation energy (meV/atom): -32
V (Å³ per cell): 195.0

a = 4.320 Å, b = 6.304 Å, c = 8.116 Å
α = 112.85°, β = 105.43°, γ = 90.00°
Each line ends with the local moment (μB).
Fractional coordinates of all 6 atoms:
1 Pu 0.665 0.165 0.330  5.23
2 Pu 0.335 0.835 0.670  5.23
3 Ga 0.000 0.500 0.000  0.02
4 Bi 0.334 0.334 0.668  -0.12
5 Bi 0.000 0.000 0.000  -0.10
6 Bi 0.666 0.666 0.332  -0.12